Record 1
This record from Alexandria describes a relaxed structure of Li2BePb. The functional is PBEsol.

Cell and atoms, written as POSCAR:
```
Li2BePb
1.0
-3.339 -2.135 1.977
0.659 -4.024 1.728
0.015 -0.548 4.395
Be Li Pb
1 2 1
direct
0.000 0.000 0.000 Be
0.500 0.500 0.500 Li
0.750 0.750 0.750 Li
0.250 0.250 0.250 Pb
```

Calculated values
N(E_F) ... 0.27 states/eV/cell
ΔH_f (0 K) ... -0.2 eV/f.u.
Space-group type ... F-43m (216)
Final energy ... -3.04 eV/atom


Record 2
This record from Alexandria describes a relaxed structure of Pd2RhW. The functional is PBEsol.

Cell and atoms, written as POSCAR:
```
Pd2RhW
1.0
-2.202 2.350 2.922
1.141 -0.123 4.194
1.861 3.468 1.850
W Pd Rh
1 2 1
direct
0.500 0.500 0.500 W
0.250 0.250 0.250 Pd
0.750 0.750 0.750 Pd
0.000 0.000 0.000 Rh
```

Calculated values
N(E_F) ... 3.92 states/eV/cell
ΔH_f (0 K) ... 0.9 eV/f.u.
Space-group type ... Fm-3m (225)
Final energy ... -8.25 eV/atom


Record 3
This record from Alexandria describes a relaxed structure of NaSrSI2. The functional is PBEsol.

Cell and atoms, written as POSCAR:
```
NaSrSI2
1.0
-2.048 3.815 -2.967
2.880 -2.486 -5.186
-5.175 -3.651 -1.123
S I Sr Na
1 2 1 1
direct
0.000 0.000 0.000 S
0.000 0.000 0.500 I
0.000 0.500 0.000 I
0.500 0.000 0.000 Sr
0.500 0.500 0.500 Na
```

Calculated values
N(E_F) ... 1.46 states/eV/cell
Space-group type ... P4/mmm (123)
Final energy ... -2.85 eV/atom
E_form (uncorrected) ... -60 kJ/mol of atoms


Record 4
This record from Alexandria describes a relaxed structure of BeAl2Ru. The functional is PBEsol.

Cell and atoms, written as POSCAR:
```
BeAl2Ru
1.0
4.141 0.000 0.000
2.070 3.586 0.000
2.070 1.195 3.381
Ru Al Be
1 2 1
direct
0.250 0.250 0.250 Ru
0.000 0.000 0.000 Al
0.750 0.750 0.750 Al
0.500 0.500 0.500 Be
```

Calculated values
N(E_F) ... 2.04 states/eV/cell
ΔH_f (0 K) ... -0.6 eV/f.u.
Space-group type ... F-43m (216)
Final energy ... -5.73 eV/atom


Record 5
This record from Alexandria describes a relaxed structure of Y2Ga2Pb. The functional is PBEsol.

Cell and atoms, written as POSCAR:
```
Y2Ga2Pb
1.0
-3.780 -0.088 -2.050
-0.928 -6.964 2.009
-3.360 2.208 6.102
Pb Ga Y
2 4 4
direct
0.000 0.500 0.500 Pb
0.000 0.000 0.000 Pb
0.000 0.621 0.121 Ga
0.000 0.379 0.879 Ga
0.000 0.121 0.379 Ga
0.000 0.879 0.621 Ga
0.500 0.827 0.327 Y
0.500 0.173 0.673 Y
0.500 0.327 0.173 Y
0.500 0.673 0.827 Y
```

Calculated values
N(E_F) ... 4.00 states/eV/cell
ΔH_f (0 K) ... -3.2 eV/f.u.
Space-group type ... P4/mbm (127)
Final energy ... -5.50 eV/atom


Record 6
This record from Alexandria describes a relaxed structure of LiMgCu4. The functional is PBEsol.

Cell and atoms, written as POSCAR:
```
LiMgCu4
1.0
-2.466 3.755 -1.833
-3.625 -0.774 -3.130
-4.590 0.785 1.362
Cu Li Mg
4 1 1
direct
0.375 0.875 0.375 Cu
0.375 0.375 0.375 Cu
0.875 0.375 0.375 Cu
0.375 0.375 0.875 Cu
0.750 0.750 0.750 Li
0.000 0.000 0.000 Mg
```

Calculated values
N(E_F) ... 2.27 states/eV/cell
ΔH_f (0 K) ... -0.5 eV/f.u.
Space-group type ... F-43m (216)
Final energy ... -3.59 eV/atom


Record 7
This record from Alexandria describes a relaxed structure of Fe2CuSe. The functional is PBEsol.

Cell and atoms, written as POSCAR:
```
Fe2CuSe
1.0
2.691 0.000 -0.018
0.000 3.897 0.000
-1.048 0.000 4.939
Fe Se Cu
2 1 1
direct
0.177 0.000 0.738 Fe
0.823 0.000 0.262 Fe
0.500 0.500 0.000 Se
0.500 0.500 0.500 Cu
```

Calculated values
N(E_F) ... 3.02 states/eV/cell
Space-group type ... P2/m (10)
Final energy ... -6.23 eV/atom
E_form (uncorrected) ... 28 kJ/mol of atoms


Record 8
This record from Alexandria describes a relaxed structure of FeCoIr2. The functional is PBEsol.

Cell and atoms, written as POSCAR:
```
FeCoIr2
1.0
2.638 0.000 0.000
0.000 3.559 0.000
0.000 0.000 5.280
Co Ir Fe
1 2 1
direct
0.500 0.500 0.000 Co
0.000 0.000 0.751 Ir
0.000 0.000 0.249 Ir
0.500 0.500 0.500 Fe
```

Calculated values
N(E_F) ... 5.25 states/eV/cell
ΔH_f (0 K) ... -0.1 eV/f.u.
Space-group type ... Pmmm (47)
Final energy ... -9.10 eV/atom